# 1
# GGA-PBE LuSc2Os, relaxed
# Energy of formation from the pure elements = -0.12 eV/atom
# Volume = 19.99 A^3/atom
data_LuSc2Os
_chemical_formula_sum 'Lu4 Sc8 Os4'
_space_group_name_H-M_alt 'F -4 3 m'
_space_group_IT_number 216
_space_group_name_Hall 'F -4 2 3'
_cell_length_a 6.839
_cell_length_b 6.839
_cell_length_c 6.839
_cell_angle_alpha 90.00
_cell_angle_beta 90.00
_cell_angle_gamma 90.00
loop_
_atom_site_label
_atom_site_fract_x
_atom_site_fract_y
_atom_site_fract_z
_atom_site_occupancy
Lu1 0.000 0.000 0.000 1
Sc1 0.000 0.000 0.500 1
Sc2 0.250 0.250 0.250 1
Os1 0.250 0.250 0.750 1

---

# 2
# GGA-PBE SrCdO2, relaxed
# Total DFT energy (no corrections) = -4.971 eV per atom
# Volume = 15.22 A^3/atom
data_SrCdO2
_chemical_formula_sum 'Sr2 Cd2 O4'
_space_group_name_H-M_alt 'A m m 2'
_space_group_IT_number 38
_space_group_name_Hall 'A 2 -2'
_cell_length_a 4.927
_cell_length_b 4.970
_cell_length_c 4.972
_cell_angle_alpha 90.00
_cell_angle_beta 90.00
_cell_angle_gamma 90.00
loop_
_atom_site_label
_atom_site_fract_x
_atom_site_fract_y
_atom_site_fract_z
_atom_site_occupancy
Sr1 0.000 0.000 0.000 1
Cd1 0.500 0.000 0.500 1
O1 0.000 0.000 0.500 1
O2 0.500 0.000 0.005 1

---

> The lowest volume belongs to which entry?

SrCdO2